Record 1
The following is a PBE calculation of crystalline Dy2PdRu at its relaxed geometry, from the Alexandria database.

Values from the calculation:
E_tot = -6.56 eV per atom
calculated formation energy = -62.4 kJ per mole of atoms

```
data_Dy2PdRu
_space_group_name_H-M_alt 'F m -3 m'
_space_group_IT_number 225
_space_group_name_Hall '-F 4 2 3'
_cell_length_a 6.8947
_cell_length_b 6.8947
_cell_length_c 6.8947
_cell_angle_alpha 90.00
_cell_angle_beta 90.00
_cell_angle_gamma 90.00
loop_
_atom_site_label
_atom_site_type_symbol
_atom_site_fract_x
_atom_site_fract_y
_atom_site_fract_z
Dy1 Dy 0.2500 0.2500 0.2500
Pd1 Pd 0.0000 0.0000 0.0000
Ru1 Ru 0.0000 0.0000 0.5000
```

***

Record 2
The following is a PBE calculation of crystalline Na3AsPt at its relaxed geometry, from the Alexandria database.

Values from the calculation:
E_tot = -3.21 eV per atom
calculated formation energy = -27.5 kJ per mole of atoms
distance to the lowest polymorph of the same formula = 0.0 meV/atom

```
data_Na3AsPt
_space_group_name_H-M_alt 'C 1 2/m 1'
_space_group_IT_number 12
_space_group_name_Hall '-C 2y'
_cell_length_a 11.0056
_cell_length_b 9.2958
_cell_length_c 5.5705
_cell_angle_alpha 90.00
_cell_angle_beta 104.96
_cell_angle_gamma 90.00
loop_
_atom_site_label
_atom_site_type_symbol
_atom_site_fract_x
_atom_site_fract_y
_atom_site_fract_z
Na1 Na 0.1017 0.2147 0.2979
Na2 Na 0.2296 0.0000 0.8697
As1 As 0.1841 0.5000 0.5910
Pt1 Pt 0.0029 0.5000 0.7663
```

***

Question: Look up the calculated formation energy of the first one.
Answer: -62.4 kJ per mole of atoms